Arrangement 1

A relaxed Cs2UTe3 crystal. Source: the Alexandria database, functional PBE.

Cell lengths 8.3929, 14.5027, 9.3690 Å; angles 90.00, 107.87, 90.00 degrees
Last column: nearest neighbours and their distance in Å.
Space group C2/m (No. 12)
Unique sites:
1 Cs 0.0000 0.0000 0.0000 x2  6 Te 3.67-3.71
2 Cs 0.0000 0.1497 0.5000 x4  4 Te 3.69-3.95
3 Cs 0.0000 0.5000 0.5000 x2  6 Te 3.64-4.07
4 U 0.0000 0.3318 0.0000 x4  6 Te 3.12
5 Te 0.1776 0.5000 0.1909 x4  2 U 3.12
6 Te 0.2368 0.3052 0.8032 x8  2 U 3.12

Output
Magnetization (μB/atom): 0.3333
Volume (A^3/atom): 45.2

Arrangement 2

A relaxed Cs2UTe3 crystal. Source: the Alexandria database, functional PBE.

Cell lengths 14.5057, 10.3926, 8.0525 Å; angles 90.00, 90.00, 90.00 degrees
Last column: nearest neighbours and their distance in Å.
Space group Cmcm (No. 63)
Unique sites:
1 Cs 0.1546 0.1642 0.2500 x8  5 Te 3.89-4.03
2 U 0.0000 0.4180 0.7500 x4  5 Te 2.88-3.03
3 Te 0.0000 0.1412 0.7500 x4  1 U 2.88
4 Te 0.1442 0.5000 0.0000 x8  2 U 3.03

Output
Magnetization (μB/atom): 0.3333
Volume (A^3/atom): 50.6

Result of the stability comparison: arrangement 1 is the most stable of them.